# PBE RbAuI4O12, relaxed
# Volume   565 Å³ per cell
# VASP energy   -154.9 eV per cell
data_RbAuI4O12
_symmetry_space_group_name_H-M 'C 1 2 1'
_symmetry_Int_Tables_number 5
_symmetry_space_group_name_Hall 'C 2y'
_cell_length_a 13.376
_cell_length_b 5.409
_cell_length_c 8.253
_cell_angle_alpha 90.00
_cell_angle_beta 108.82
_cell_angle_gamma 90.00
loop_
_atom_site_label
_atom_site_type_symbol
_atom_site_fract_x
_atom_site_fract_y
_atom_site_fract_z
Rb1 Rb 0.000 0.000 0.000
Au1 Au 0.000 0.142 0.500
I1 I 0.157 0.472 0.346
I2 I 0.177 0.425 0.833
O1 O 0.027 0.538 0.198
O2 O 0.103 0.127 0.738
O3 O 0.124 0.146 0.412
O4 O 0.146 0.634 0.536
O5 O 0.200 0.831 0.198
O6 O 0.202 0.298 0.049